# 1
First-principles (PBE-GGA) data for a geometry-optimized TaIn2Hg structure, as listed in the Alexandria database.

## Properties
**Total magnetic moment**: 0.000 μB/atom
**DOS(E_F)**: 0.377 states/eV per atom
**Space-group type**: No. 160
**Energy of formation**: 0.97 eV/f.u.

abc: 10.1156 10.1156 10.1156
angles: 18.17 18.17 18.17
Closest atoms and distances in Å follow each position.
Fractional coordinates of all 4 atoms:
Hg  0.7543  0.7543  0.7543  3 Ta 2.97, 3 In 3.16, 6 Hg 3.19
In  0.0017  0.0017  0.0017  3 Hg 3.16, 9 In 3.19-3.26
In  0.2450  0.2450  0.2450  3 Ta 3.00, 9 In 3.19-3.26
Ta  0.4991  0.4991  0.4991  3 Hg 2.97, 3 In 3.00, 6 Ta 3.19

# 2
First-principles (PBE-GGA) data for a geometry-optimized TaIn2Hg structure, as listed in the Alexandria database.

## Properties
**Total magnetic moment**: 0.000 μB/atom
**DOS(E_F)**: 0.505 states/eV per atom
**Space-group type**: No. 166
**Energy of formation**: 0.90 eV/f.u.

abc: 10.1161 10.1161 10.1161
angles: 18.13 18.13 18.13
Closest atoms and distances in Å follow each position.
Fractional coordinates of all 4 atoms:
Hg  0.7500  0.7500  0.7500  6 In 3.17, 6 Hg 3.19
In  0.9970  0.9970  0.9970  3 Ta 3.02, 3 Hg 3.17, 6 In 3.19
In  0.5030  0.5030  0.5030  3 Ta 3.02, 3 Hg 3.17, 6 In 3.19
Ta  0.2500  0.2500  0.2500  6 In 3.02, 6 Ta 3.19

# 3
First-principles (PBE-GGA) data for a geometry-optimized TaInHg2 structure, as listed in the Alexandria database.

## Properties
**Total magnetic moment**: 0.000 μB/atom
**DOS(E_F)**: 0.900 states/eV per atom
**Space-group type**: No. 166
**Energy of formation**: 1.31 eV/f.u.

abc: 10.1168 10.1168 10.1168
angles: 18.00 18.00 18.00
Closest atoms and distances in Å follow each position.
Fractional coordinates of all 4 atoms:
Hg  0.0036  0.0036  0.0036  3 Ta 3.00, 6 Hg 3.17, 3 In 3.17
Hg  0.4964  0.4964  0.4964  3 Ta 3.00, 6 Hg 3.17, 3 In 3.17
In  0.2500  0.2500  0.2500  6 In 3.17, 6 Hg 3.17
Ta  0.7500  0.7500  0.7500  6 Hg 3.00, 6 Ta 3.17

# 4
First-principles (PBE-GGA) data for a geometry-optimized TaInHg3 structure, as listed in the Alexandria database.

## Properties
**Total magnetic moment**: 0.000 μB/atom
**DOS(E_F)**: 1.704 states/eV per atom
**Space-group type**: No. 221
**Energy of formation**: 3.91 eV/f.u.

abc: 5.4452 5.4452 5.4452
angles: 90.00 90.00 90.00
Closest atoms and distances in Å follow each position.
Fractional coordinates of all 5 atoms:
In  0.5000  0.5000  0.5000  12 Hg 3.85
Hg  0.0000  0.5000  0.0000  2 Ta 2.72
Hg  0.0000  0.0000  0.5000  2 Ta 2.72
Hg  0.5000  0.0000  0.0000  2 Ta 2.72
Ta  0.0000  0.0000  0.0000  6 Hg 2.72

# 5
First-principles (PBE-GGA) data for a geometry-optimized TaInHg2 structure, as listed in the Alexandria database.

## Properties
**Total magnetic moment**: 0.000 μB/atom
**DOS(E_F)**: 0.658 states/eV per atom
**Space-group type**: No. 47
**Energy of formation**: 1.74 eV/f.u.

abc: 3.1781 4.3842 6.1176
angles: 90.00 90.00 90.00
Closest atoms and distances in Å follow each position.
Fractional coordinates of all 4 atoms:
Hg  0.0000  0.0000  0.9848  3 Hg 2.87-3.18, 4 Ta 3.06, 4 In 3.16
Hg  0.0000  0.0000  0.5152  3 Hg 2.87-3.18, 4 Ta 3.06, 4 In 3.16
In  0.5000  0.5000  0.2500  2 Ta 3.06, 8 Hg 3.16, 2 In 3.18
Ta  0.5000  0.5000  0.7500  2 In 3.06, 8 Hg 3.06, 2 Ta 3.18

# 6
First-principles (PBE-GGA) data for a geometry-optimized TaIn2Hg structure, as listed in the Alexandria database.

## Properties
**Total magnetic moment**: 0.000 μB/atom
**DOS(E_F)**: 0.425 states/eV per atom
**Space-group type**: No. 44
**Energy of formation**: 1.29 eV/f.u.

abc: 6.1603 6.1603 6.1603
angles: 150.44 129.88 59.27
Closest atoms and distances in Å follow each position.
Fractional coordinates of all 4 atoms:
Hg  0.2651  0.7651  0.5000  2 Ta 2.94, 6 In 3.06-3.21, 2 Hg 3.14
In  0.0039  0.0039  0.0000  4 Ta 3.05, 4 In 3.14-3.29, 2 Hg 3.21
In  0.7337  0.2337  0.5000  2 Ta 2.98, 4 Hg 3.06, 4 In 3.14-3.29
Ta  0.4974  0.4974  0.0000  2 Hg 2.94, 6 In 2.98-3.05, 2 Ta 3.14

Ρ / g/cm³: 11.55; 11.59; 13.40; 9.23; 13.58; 11.56